[1]
HfZrTi2C4 | Alexandria | PBE | optimized geometry; ρ = 7429 kg/m3; DOS(E_F) = 1.26 states/eV per cell; DFT total energy = -9.69 eV/atom; magnetization = 0.00 μB/f.u.
1.0
3.203 0.000 0.000
0.000 5.520 -0.099
0.000 1.952 5.193
Ti C Hf Zr
2 4 1 1
Cartesian
1.601 0.976 2.597
0.000 1.952 5.193
3.203 1.797 1.313
1.601 2.773 3.884
0.000 5.674 3.781
1.601 4.698 1.210
0.000 3.736 2.547
1.601 2.760 -0.050

=====

[2]
HfZrTi2C | Alexandria | PBE | optimized geometry; ρ = 7357 kg/m3; energy above the most stable polymorph in this dataset = 10 meV/atom; DOS(E_F) = 6.77 states/eV per cell; DFT total energy = -8.94 eV/atom; magnetization = 0.00 μB/f.u.
1.0
4.258 0.000 0.000
0.000 4.258 0.000
0.000 0.000 4.698
Ti C Zr Hf
2 1 1 1
Cartesian
0.000 2.129 0.000
2.129 0.000 0.000
0.000 0.000 0.000
0.000 0.000 2.349
2.129 2.129 2.349

=====

[3]
HfZr2TiC4 | Alexandria | PBE | optimized geometry; ρ = 7702 kg/m3; DOS(E_F) = 1.35 states/eV per cell; DFT total energy = -9.78 eV/atom; magnetization = 0.00 μB/f.u.
1.0
-1.089 -0.251 3.072
-5.047 -1.667 -1.925
-0.067 -5.633 -0.484
C Ti Zr Hf
4 1 2 1
Cartesian
-4.305 -2.758 -0.012
-1.898 -4.793 0.675
-3.777 -5.506 -1.788
-2.426 -2.046 2.451
-3.068 -0.959 0.573
-0.067 -5.633 -0.484
-0.578 -2.942 1.294
-2.557 -3.650 -1.204

=====

[4]
Hf3TlC | Alexandria | PBE | optimized geometry; ρ = 13130 kg/m3; DOS(E_F) = 6.64 states/eV per cell; DFT total energy = -8.65 eV/atom; magnetization = 0.00 μB/f.u.
1.0
4.451 0.000 0.081
0.000 4.566 0.000
-0.172 0.000 9.354
Hf Tl C
6 2 2
Cartesian
2.077 1.141 8.207
4.386 3.424 3.608
-0.106 1.141 5.827
2.203 3.424 1.228
2.121 3.424 5.772
2.159 1.141 3.663
-0.147 3.424 8.045
4.426 1.141 1.390
2.117 1.141 5.982
2.163 3.424 3.453

=====

[5]
HfTlC2 | Alexandria | PBE | optimized geometry; ρ = 12529 kg/m3; energy above the most stable polymorph in this dataset = 688 meV/atom; DOS(E_F) = 2.72 states/eV per cell; DFT total energy = -6.09 eV/atom; magnetization = 0.00 μB/f.u.
1.0
0.000 2.999 2.999
2.999 0.000 2.999
2.999 2.999 0.000
C Tl Hf
2 1 1
Cartesian
1.499 1.499 1.499
4.498 4.498 4.498
2.999 2.999 2.999
0.000 0.000 0.000

=====

[6]
Hf2TlC | Alexandria | PBE | optimized geometry; ρ = 13164 kg/m3; DOS(E_F) = 4.35 states/eV per cell; DFT total energy = -6.86 eV/atom; magnetization = 0.00 μB/f.u.
1.0
3.674 0.851 2.766
-0.409 2.983 3.578
0.038 -1.600 4.394
Tl Hf C
1 2 1
Cartesian
1.651 1.117 5.370
0.826 0.559 2.685
2.477 1.676 8.054
0.000 0.000 0.000

=====

> magnetization of number 3 (HfZr2TiC4)?

0.00 μB/f.u.